Entry 1:
The following is a GGA-PBE calculation of a geometry-optimized TlNi2Se structure, from Alexandria.

The structure in CIF format:
```
data_TlNi2Se
_cell_length_a 3.306
_cell_length_b 3.306
_cell_length_c 6.431
_cell_angle_alpha 90.00
_cell_angle_beta 90.00
_cell_angle_gamma 90.00
_symmetry_space_group_name_H-M 'P 4 m m'
_symmetry_Int_Tables_number 99
_symmetry_space_group_name_Hall 'P 4 -2'
loop_
_atom_site_label
_atom_site_fract_x
_atom_site_fract_y
_atom_site_fract_z
_atom_site_occupancy
Tl1 0.000 0.000 0.000 1
Ni1 0.000 0.000 0.448 1
Ni2 0.500 0.500 0.221 1
Se1 0.500 0.500 0.571 1
```

Properties
- Raw total energy: -4.318 eV/atom
- Uncorrected formation energy: 0.04 eV/atom
- ΔE to the lowest computed polymorph: 15 meV per atom
- N(E_F): 2.341 states/eV/f.u.

---

Entry 2:
The following is a GGA-PBE calculation of a geometry-optimized CsRb3Cu structure, from Alexandria.

The structure in CIF format:
```
data_CsRb3Cu
_cell_length_a 7.146
_cell_length_b 7.146
_cell_length_c 7.146
_cell_angle_alpha 90.00
_cell_angle_beta 90.00
_cell_angle_gamma 90.00
_symmetry_space_group_name_H-M 'P m -3 m'
_symmetry_Int_Tables_number 221
_symmetry_space_group_name_Hall '-P 4 2 3'
loop_
_atom_site_label
_atom_site_fract_x
_atom_site_fract_y
_atom_site_fract_z
_atom_site_occupancy
Cs1 0.000 0.000 0.000 1
Rb1 0.000 0.500 0.500 1
Cu1 0.500 0.500 0.500 1
```

Properties
- Raw total energy: -1.355 eV/atom
- ΔE to the lowest computed polymorph: 0 meV per atom
- N(E_F): 4.590 states/eV/f.u.

---

Repeat the second record exactly.
The following is a GGA-PBE calculation of a geometry-optimized CsRb3Cu structure, from Alexandria.

The structure in CIF format:
```
data_CsRb3Cu
_cell_length_a 7.146
_cell_length_b 7.146
_cell_length_c 7.146
_cell_angle_alpha 90.00
_cell_angle_beta 90.00
_cell_angle_gamma 90.00
_symmetry_space_group_name_H-M 'P m -3 m'
_symmetry_Int_Tables_number 221
_symmetry_space_group_name_Hall '-P 4 2 3'
loop_
_atom_site_label
_atom_site_fract_x
_atom_site_fract_y
_atom_site_fract_z
_atom_site_occupancy
Cs1 0.000 0.000 0.000 1
Rb1 0.000 0.500 0.500 1
Cu1 0.500 0.500 0.500 1
```

Properties
- Raw total energy: -1.355 eV/atom
- ΔE to the lowest computed polymorph: 0 meV per atom
- N(E_F): 4.590 states/eV/f.u.

---

Copy entry 1 word for word.
The following is a GGA-PBE calculation of a geometry-optimized TlNi2Se structure, from Alexandria.

The structure in CIF format:
```
data_TlNi2Se
_cell_length_a 3.306
_cell_length_b 3.306
_cell_length_c 6.431
_cell_angle_alpha 90.00
_cell_angle_beta 90.00
_cell_angle_gamma 90.00
_symmetry_space_group_name_H-M 'P 4 m m'
_symmetry_Int_Tables_number 99
_symmetry_space_group_name_Hall 'P 4 -2'
loop_
_atom_site_label
_atom_site_fract_x
_atom_site_fract_y
_atom_site_fract_z
_atom_site_occupancy
Tl1 0.000 0.000 0.000 1
Ni1 0.000 0.000 0.448 1
Ni2 0.500 0.500 0.221 1
Se1 0.500 0.500 0.571 1
```

Properties
- Raw total energy: -4.318 eV/atom
- Uncorrected formation energy: 0.04 eV/atom
- ΔE to the lowest computed polymorph: 15 meV per atom
- N(E_F): 2.341 states/eV/f.u.

---

Copy entry 2 word for word.
The following is a GGA-PBE calculation of a geometry-optimized CsRb3Cu structure, from Alexandria.

The structure in CIF format:
```
data_CsRb3Cu
_cell_length_a 7.146
_cell_length_b 7.146
_cell_length_c 7.146
_cell_angle_alpha 90.00
_cell_angle_beta 90.00
_cell_angle_gamma 90.00
_symmetry_space_group_name_H-M 'P m -3 m'
_symmetry_Int_Tables_number 221
_symmetry_space_group_name_Hall '-P 4 2 3'
loop_
_atom_site_label
_atom_site_fract_x
_atom_site_fract_y
_atom_site_fract_z
_atom_site_occupancy
Cs1 0.000 0.000 0.000 1
Rb1 0.000 0.500 0.500 1
Cu1 0.500 0.500 0.500 1
```

Properties
- Raw total energy: -1.355 eV/atom
- ΔE to the lowest computed polymorph: 0 meV per atom
- N(E_F): 4.590 states/eV/f.u.

---

Which of these has the lowest ΔE to the lowest computed polymorph? CsRb3Cu